Record 1
## PmCd2Pd (PBE-GGA)

Data for a relaxed PmCd2Pd crystal.

Summary:
crystal system	orthorhombic
energy above the lowest structure with this stoichiometry	0.0000	eV/atom

Cell lengths 4.171, 10.133, 8.634 Å; angles 90.00, 90.00, 90.00 degrees
Fractional positions:
Pm 0.000 0.065 0.250
Pm 0.000 0.935 0.750
Pm 0.500 0.435 0.750
Pm 0.500 0.565 0.250
Cd 0.000 0.357 0.046
Cd 0.000 0.357 0.454
Cd 0.000 0.643 0.546
Cd 0.000 0.643 0.954
Cd 0.500 0.143 0.546
Cd 0.500 0.143 0.954
Cd 0.500 0.857 0.046
Cd 0.500 0.857 0.454
Pd 0.000 0.224 0.750
Pd 0.000 0.776 0.250
Pd 0.500 0.276 0.250
Pd 0.500 0.724 0.750

Record 2
## Pm6Cd2Pd (PBE-GGA)

Data for a relaxed Pm6Cd2Pd crystal.

Summary:
crystal system	monoclinic

Cell lengths 8.851, 8.851, 5.312 Å; angles 107.38, 107.38, 48.71 degrees
Fractional positions:
Pm 0.090 0.597 0.343
Pm 0.236 0.764 0.000
Pm 0.403 0.910 0.657
Pm 0.597 0.090 0.343
Pm 0.764 0.236 0.000
Pm 0.910 0.403 0.657
Cd 0.332 0.332 0.832
Cd 0.668 0.668 0.168
Pd 0.000 0.000 0.500

Record 3
## PmCd4Pd (PBE-GGA)

Data for a relaxed PmCd4Pd crystal.

Summary:
crystal system	orthorhombic
energy above the lowest structure with this stoichiometry	0.0000	eV/atom

Cell lengths 8.602, 4.291, 7.443 Å; angles 90.00, 90.00, 90.00 degrees
Fractional positions:
Pm 0.250 0.000 0.104
Pm 0.750 0.000 0.896
Cd 0.000 0.000 0.500
Cd 0.049 0.500 0.811
Cd 0.250 0.500 0.443
Cd 0.451 0.500 0.811
Cd 0.500 0.000 0.500
Cd 0.549 0.500 0.189
Cd 0.750 0.500 0.557
Cd 0.951 0.500 0.189
Pd 0.250 0.000 0.721
Pd 0.750 0.000 0.279

Sequential E_tot output: -55.92 -36.10 -31.51 eV/cell